*1*
A relaxed ScBe2W crystal, computed with PBE.

Geometry as extended XYZ:
```
4
Lattice="1.4439 0.8336 8.0955 -1.4439 0.8336 8.0955 0.0000 -1.6672 8.0955" Properties=species:S:1:pos:R:3 pbc="T T T"
Sc 0.0000 0.0000 0.0000
Be 0.0000 0.0000 5.9308
Be 0.0000 0.0000 18.3559
W 0.0000 0.0000 12.1433
```

Summary:
The density of states at the Fermi level comes out at 1.44 states/eV per cell. The space-group type is No. 166.

***

*2*
A relaxed ScBe2W crystal, computed with PBE.

Geometry as extended XYZ:
```
4
Lattice="-1.4179 2.1641 4.3954 1.4179 -2.1641 4.3954 1.4179 2.1641 -4.3954" Properties=species:S:1:pos:R:3 pbc="T T T"
Sc 0.0000 0.0000 0.0000
Be 0.0000 0.0000 4.8105
Be 0.0000 2.1641 2.0631
W 1.4179 0.0000 2.4542
```

Summary:
The density of states at the Fermi level comes out at 2.10 states/eV per cell. The space-group type is No. 44.

***

The relative energies come out as *1* 0.292; *2* 0.000, with values in eV/atom.

***

*1*
A relaxed ScBe2W crystal, computed with PBE.

Geometry as extended XYZ:
```
4
Lattice="3.1448 0.0000 0.0000 0.0000 3.1448 0.0000 0.0000 0.0000 5.5578" Properties=species:S:1:pos:R:3 pbc="T T T"
Sc 0.0000 0.0000 0.0000
Be 1.5724 1.5724 1.6934
Be 1.5724 1.5724 3.8643
W 0.0000 0.0000 2.7789
```

Summary:
The density of states at the Fermi level comes out at 1.86 states/eV per cell. The space-group type is No. 123.

***

*2*
A relaxed ScBe2W crystal, computed with PBE.

Geometry as extended XYZ:
```
4
Lattice="4.2874 -1.3639 0.0000 4.2874 1.3639 0.0000 -0.8451 0.0000 5.1004" Properties=species:S:1:pos:R:3 pbc="T T T"
Sc 0.0000 0.0000 0.0000
Be 1.5171 0.0000 3.4072
Be 6.2126 0.0000 1.6932
W 3.8649 0.0000 2.5502
```

Summary:
The density of states at the Fermi level comes out at 2.88 states/eV per cell. The space-group type is No. 12.

***

The relative energies come out as *1* 0.000; *2* 0.300, with values in eV/atom.

***

*1*
A relaxed ScBe2W crystal, computed with PBE.

Geometry as extended XYZ:
```
4
Lattice="2.9060 -3.3352 0.0000 2.9060 3.3352 0.0000 0.0000 0.0000 2.7571" Properties=species:S:1:pos:R:3 pbc="T T T"
Sc 0.0000 0.0000 0.0000
Be 1.4530 1.6676 1.3786
Be 1.4530 -1.6676 1.3786
W 2.9060 0.0000 0.0000
```

Summary:
The density of states at the Fermi level comes out at 2.87 states/eV per cell. The space-group type is No. 65.

***

*2*
A relaxed ScBe2W crystal, computed with PBE.

Geometry as extended XYZ:
```
4
Lattice="-1.8060 1.8060 4.1885 1.8060 -1.8060 4.1885 1.8060 1.8060 -4.1885" Properties=species:S:1:pos:R:3 pbc="T T T"
Sc 0.0000 0.0000 0.0000
Be 0.0000 0.0000 4.1885
Be 0.0000 1.8060 2.0942
W 1.8060 0.0000 2.0942
```

Summary:
The density of states at the Fermi level comes out at 2.41 states/eV per cell. The space-group type is No. 119.

***

*3*
A relaxed ScBe2W crystal, computed with PBE.

Geometry as extended XYZ:
```
4
Lattice="-2.0055 2.0055 3.3494 2.0055 -2.0055 3.3494 2.0055 2.0055 -3.3494" Properties=species:S:1:pos:R:3 pbc="T T T"
Sc 0.0000 0.0000 0.0000
Be 2.0055 0.0000 1.6747
Be 0.0000 2.0055 1.6747
W 0.0000 0.0000 3.3494
```

Summary:
The density of states at the Fermi level comes out at 3.71 states/eV per cell. The space-group type is No. 139.

***

The relative energies come out as *1* 0.000; *2* 0.133; *3* 0.044, with values in eV/atom.

***

*1*
A relaxed ScBe2W crystal, computed with PBE.

Geometry as extended XYZ:
```
4
Lattice="2.7573 0.0000 0.0000 0.0000 2.7685 0.0000 0.0000 0.0000 7.1039" Properties=species:S:1:pos:R:3 pbc="T T T"
Sc 0.0000 0.0000 0.0000
Be 0.0000 0.0000 4.0441
Be 1.3786 1.3843 5.0990
W 1.3786 1.3843 2.3467
```

Summary:
The density of states at the Fermi level comes out at 2.00 states/eV per cell. The space-group type is No. 25.

***

*2*
A relaxed ScBe2W crystal, computed with PBE.

Geometry as extended XYZ:
```
4
Lattice="0.0000 3.0516 3.0516 3.0516 0.0000 3.0516 3.0516 3.0516 0.0000" Properties=species:S:1:pos:R:3 pbc="T T T"
Sc 0.0000 0.0000 0.0000
Be 3.0516 3.0516 3.0516
Be 4.5774 4.5774 4.5774
W 1.5258 1.5258 1.5258
```

Summary:
The density of states at the Fermi level comes out at 2.86 states/eV per cell. The space-group type is No. 216.

***

The relative energies come out as *1* 0.000; *2* 0.535, with values in eV/atom.